[1]
Computed, not measured: a relaxed PrNd2DyY crystal at the PBE level of DFT.

Properties
As for the space group: P2/c. The value obtained for the formation energy is 274 meV/atom.

CIF file:
```
data_PrNd2DyY
_chemical_formula_sum 'Pr2 Nd4 Dy2 Y2'
_space_group_name_H-M_alt 'P 1'
_space_group_IT_number 1
_space_group_name_Hall 'P 1'
_cell_length_a 6.821
_cell_length_b 8.254
_cell_length_c 6.261
_cell_angle_alpha 90.12
_cell_angle_beta 90.00
_cell_angle_gamma 90.00
loop_
_atom_site_label
_atom_site_fract_x
_atom_site_fract_y
_atom_site_fract_z
Dy1 0.157 0.500 0.750
Dy2 0.843 0.500 0.250
Nd1 0.309 0.694 0.251
Nd2 0.691 0.306 0.749
Nd3 0.309 0.306 0.249
Nd4 0.691 0.694 0.751
Y1 0.420 0.000 0.750
Y2 0.580 0.000 0.250
Pr1 0.000 0.000 0.000
Pr2 0.000 0.000 0.500
```

[2]
Computed, not measured: a relaxed TaInAs2Se crystal at the PBE level of DFT.

Properties
As for the space group: P4/mmm. The formation energy from raw total energies comes out at 1455 meV/atom.

CIF file:
```
data_TaInAs2Se
_chemical_formula_sum 'Ta1 In1 As2 Se1'
_space_group_name_H-M_alt 'P 1'
_space_group_IT_number 1
_space_group_name_Hall 'P 1'
_cell_length_a 5.158
_cell_length_b 5.158
_cell_length_c 5.269
_cell_angle_alpha 90.00
_cell_angle_beta 90.00
_cell_angle_gamma 90.00
loop_
_atom_site_label
_atom_site_fract_x
_atom_site_fract_y
_atom_site_fract_z
Se1 0.000 0.000 0.500
As1 0.000 0.500 0.000
As2 0.500 0.000 0.000
Ta1 0.500 0.500 0.500
In1 0.000 0.000 0.000
```